1.
First-principles (PBE) data for LiZnRe2 after structural relaxation, as listed in the Open Quantum Materials Database.

Properties
The calculated volume comes out at 13.70 A^3/atom. The calculation puts the total magnetic moment at 0.001 μB per atom. Its total energy is -6.8979 eV per atom.

abc: 6.029 6.029 6.029
angles: 90.00 90.00 90.00
Space group F-43m (No. 216)
Inequivalent atoms, fractional coordinates:
Li  0.000  0.000  0.000 [4 per cell]
Zn  0.250  0.250  0.250 [4 per cell]
Re  0.000  0.000  0.500 [4 per cell]
Re  0.250  0.250  0.750 [4 per cell]



2.
First-principles (PBE) data for ZnNiPdAu after structural relaxation, as listed in the Open Quantum Materials Database.

Properties
The calculated volume comes out at 14.68 A^3/atom. As for the formation energy: -0.174 eV per atom. The calculation puts the total magnetic moment at 0.001 μB per atom. Its total energy is -3.9924 eV per atom.

abc: 6.170 6.170 6.170
angles: 90.00 90.00 90.00
Space group F-43m (No. 216)
Inequivalent atoms, fractional coordinates:
Zn  0.000  0.000  0.000 [4 per cell]
Ni  0.250  0.250  0.250 [4 per cell]
Pd  0.250  0.250  0.750 [4 per cell]
Au  0.000  0.000  0.500 [4 per cell]